Entry 1:
DFT (GGA-PBEsol) results for crystalline LiMnPO4 at its relaxed geometry.

Results
formation energy without anion corrections	-2.073	eV/atom
space-group type	Cc, No. 9
E_tot	-7.575	eV/atom

Unit cell a=4.963 b=4.963 c=8.438 alpha=104.79 beta=104.79 gamma=61.05
Fractional coordinates of all 14 atoms:
1 Li 0.179 0.821 0.500
2 Li 0.821 0.179 0.000
3 Mn 0.073 0.444 0.757
4 Mn 0.444 0.073 0.257
5 P 0.440 0.819 0.878
6 P 0.819 0.440 0.378
7 O 0.032 0.533 0.527
8 O 0.164 0.789 0.913
9 O 0.344 0.974 0.722
10 O 0.487 0.713 0.351
11 O 0.533 0.032 0.027
12 O 0.713 0.487 0.851
13 O 0.789 0.164 0.413
14 O 0.974 0.344 0.222

Entry 2:
DFT (GGA-PBEsol) results for crystalline SrTlRe2 at its relaxed geometry.

Results
energy of formation	0.775	eV/atom
space-group type	R3m, No. 160
E_tot	-7.009	eV/atom

Unit cell a=10.156 b=10.156 c=10.156 alpha=17.06 beta=17.06 gamma=17.06
Fractional coordinates of all 4 atoms:
1 Sr 0.000 0.000 0.000
2 Tl 0.765 0.765 0.765
3 Re 0.244 0.244 0.244
4 Re 0.514 0.514 0.514

Entry 3:
DFT (GGA-PBEsol) results for crystalline BaTcCl4 at its relaxed geometry.

Results
formation energy without anion corrections	0.127	eV/atom
space-group type	F-43m, No. 216
E_tot	-3.447	eV/atom

Unit cell a=5.950 b=5.950 c=5.950 alpha=60.00 beta=60.00 gamma=60.00
Fractional coordinates of all 6 atoms:
1 Ba 0.000 0.000 0.000
2 Tc 0.750 0.750 0.750
3 Cl 0.376 0.376 0.376
4 Cl 0.376 0.376 0.873
5 Cl 0.376 0.873 0.376
6 Cl 0.873 0.376 0.376

Entry 4:
DFT (GGA-PBEsol) results for crystalline SmAsO4 at its relaxed geometry.

Results
formation energy without anion corrections	-2.371	eV/atom
space-group type	I4_1/amd, No. 141
E_tot	-7.570	eV/atom

Unit cell a=6.009 b=6.009 c=6.009 alpha=106.40 beta=106.40 gamma=115.80
Fractional coordinates of all 12 atoms:
1 Sm 0.375 0.625 0.750
2 Sm 0.625 0.375 0.250
3 As 0.125 0.875 0.250
4 As 0.875 0.125 0.750
5 O 0.132 0.701 0.431
6 O 0.229 0.299 0.931
7 O 0.299 0.229 0.431
8 O 0.299 0.868 0.069
9 O 0.701 0.132 0.931
10 O 0.701 0.771 0.569
11 O 0.771 0.701 0.069
12 O 0.868 0.299 0.569

Entry 5:
DFT (GGA-PBEsol) results for crystalline ZrTcSe at its relaxed geometry.

Results
formation energy without anion corrections	-0.110	eV/atom
space-group type	P3m1, No. 156
E_tot	-8.178	eV/atom

Unit cell a=3.319 b=3.319 c=5.764 alpha=90.00 beta=90.00 gamma=120.00
Fractional coordinates of all 3 atoms:
1 Zr 0.000 0.000 0.000
2 Tc 0.667 0.333 0.325
3 Se 0.333 0.667 0.649

Entry 6:
DFT (GGA-PBEsol) results for crystalline NbBiI2O at its relaxed geometry.

Results
formation energy without anion corrections	-0.471	eV/atom
space-group type	P4/mmm, No. 123
E_tot	-5.249	eV/atom

Unit cell a=5.716 b=5.716 c=3.888 alpha=90.00 beta=90.00 gamma=90.00
Fractional coordinates of all 5 atoms:
1 Nb 0.000 0.000 0.000
2 Bi 0.500 0.500 0.500
3 I 0.000 0.500 0.000
4 I 0.500 0.000 0.000
5 O 0.000 0.000 0.500

Here are the calculated V numbers, same order: 12.41 19.67 24.82 13.79 18.32 25.41 (Å³ per atom).